DFT (PBE-GGA) results for a relaxed CrFeRh3 crystal.

Computed properties:
DFT formation energy, eV per atom: 0.009
Energy above the most stable polymorph in this dataset, meV per atom: 0
Calculated density, g/cm3: 10.24

POSCAR file:
```
CrFeRh3
1.0
-0.518 2.457 -0.991
-5.160 1.491 2.715
1.182 3.686 8.521
Rh Fe Cr
6 2 2
Cartesian
-0.005 4.086 4.364
-3.543 5.100 5.053
-0.444 1.841 2.707
-0.078 4.366 8.774
-2.952 2.364 1.633
-2.586 4.888 7.700
-4.136 6.643 9.185
-4.573 4.034 2.947
-2.290 3.364 3.770
-0.741 3.365 6.637
```



DFT (PBE-GGA) results for a relaxed ScCrFe2Rh crystal.

Computed properties:
DFT formation energy, eV per atom: 1.243
Calculated density, g/cm3: 5.20

POSCAR file:
```
ScCrFe2Rh
1.0
4.630 0.000 0.000
0.000 4.644 0.000
0.000 0.000 4.630
Rh Fe Sc Cr
1 2 1 1
Cartesian
0.000 0.000 0.000
2.315 0.000 0.000
0.000 0.000 2.315
0.000 2.322 0.000
2.315 2.322 2.315
```



What did the first record say?
DFT (PBE-GGA) results for a relaxed CrFeRh3 crystal.

Computed properties:
DFT formation energy, eV per atom: 0.009
Energy above the most stable polymorph in this dataset, meV per atom: 0
Calculated density, g/cm3: 10.24

POSCAR file:
```
CrFeRh3
1.0
-0.518 2.457 -0.991
-5.160 1.491 2.715
1.182 3.686 8.521
Rh Fe Cr
6 2 2
Cartesian
-0.005 4.086 4.364
-3.543 5.100 5.053
-0.444 1.841 2.707
-0.078 4.366 8.774
-2.952 2.364 1.633
-2.586 4.888 7.700
-4.136 6.643 9.185
-4.573 4.034 2.947
-2.290 3.364 3.770
-0.741 3.365 6.637
```